Material: K2Pa2PbO7
Method: DFT, PBE
State: optimized geometry

For the final energy, the calculation gives -7.6441 eV per atom. Its crystal system is orthorhombic. As for the uncorrected formation energy: -3100 kJ/mol of formula units.

The space group is Imm2 (No. 44) and the conventional cell measures 4.510, 22.272 and 4.441 Å, with angles of 90.00, 90.00 and 90.00 degrees. The distinct sites, in fractional coordinates, are K at (0.000, 0.249, 0.000), Pa at (0.000, 0.099, 0.501), Pb at (0.000, 0.500, 0.379), O at (0.000, 0.000, 0.557), O at (0.000, 0.095, 0.004), O at (0.000, 0.191, 0.499) and O at (0.000, 0.414, 0.031).

=====

Material: Co2SiTc
Method: DFT, PBE
State: optimized geometry

For the final energy, the calculation gives -7.6528 eV per atom. Its crystal system is orthorhombic. As for the uncorrected formation energy: -59 kJ/mol of formula units.

The space group is Imm2 (No. 44) and the conventional cell measures 2.751, 4.149 and 8.356 Å, with angles of 90.00, 90.00 and 90.00 degrees. The distinct sites, in fractional coordinates, are Co at (0.000, 0.000, 0.000), Co at (0.000, 0.500, 0.224), Si at (0.000, 0.500, 0.713) and Tc at (0.000, 0.000, 0.457).

=====

Material: MnCdHPd2
Method: DFT, PBE
State: optimized geometry

For the final energy, the calculation gives -4.9446 eV per atom. Its crystal system is tetragonal.

The space group is P4/mmm (No. 123) and the conventional cell measures 4.101, 4.101 and 3.991 Å, with angles of 90.00, 90.00 and 90.00 degrees. The distinct sites, in fractional coordinates, are Mn at (0.000, 0.000, 0.000), Cd at (0.500, 0.500, 0.000), H at (0.000, 0.000, 0.500) and Pd at (0.000, 0.500, 0.500).

=====

Material: Co2PdCl
Method: DFT, PBE
State: optimized geometry

For the final energy, the calculation gives -4.7395 eV per atom. Its crystal system is tetragonal. As for the uncorrected formation energy: 221 kJ/mol of formula units.

The space group is I-42d (No. 122) and the conventional cell measures 6.671, 6.671 and 5.082 Å, with angles of 90.00, 90.00 and 90.00 degrees. The distinct sites, in fractional coordinates, are Co at (0.208, 0.250, 0.125), Pd at (0.000, 0.000, 0.500) and Cl at (0.000, 0.000, 0.000).

=====

Material: Ho5Ga2Bi
Method: DFT, PBE
State: optimized geometry

For the final energy, the calculation gives -4.6783 eV per atom. Its crystal system is tetragonal. The formation enthalpy at 0 K comes out at -0.58 eV per atom.

The space group is I4/mcm (No. 140) and the conventional cell measures 8.151, 8.151 and 12.845 Å, with angles of 90.00, 90.00 and 90.00 degrees. The distinct sites, in fractional coordinates, are Ho at (0.000, 0.000, 0.000), Ho at (0.152, 0.348, 0.141), Ga at (0.149, 0.351, 0.500) and Bi at (0.000, 0.000, 0.250).

=====

Material: CoCl
Method: DFT, PBE
State: optimized geometry

For the final energy, the calculation gives -4.5305 eV per atom. Its crystal system is monoclinic. As for the uncorrected formation energy: -10 kJ/mol of formula units.

The space group is P2_1/m (No. 11) and the conventional cell measures 3.658, 3.667 and 6.261 Å, with angles of 90.00, 92.89 and 90.00 degrees. The distinct sites, in fractional coordinates, are Co at (0.193, 0.250, 0.010) and Cl at (0.278, 0.750, 0.760).